NaCa4AgSn2: relaxed, PBE-GGA.

Summary:
Total DFT energy (no corrections) = -3.043 eV per atom
Calculated density = 3.9 g/cm³
Total moment = 0.00 μB per atom
Energy relative to the elements = -520.2 meV/atom
Volume = 681.4 Å³/cell

a = 5.4356 Å, b = 5.4356 Å, c = 26.6283 Å
α = 90.00°, β = 90.00°, γ = 120.00°
Space group R-3m (No. 166, hexagonal axes)
Unique sites:
Na: 0.0000 0.0000 0.0000
Ca: 0.0000 0.0000 0.1312
Ca: 0.0000 0.0000 0.3828
Ag: 0.0000 0.0000 0.5000
Sn: 0.0000 0.0000 0.2572